The following is a DFT calculation (PBE) of a relaxed UReCl2O6 crystal.

Summary:
crystal system: monoclinic
ΔE_f (raw): -16.06 eV/f.u.

Cell: 8.007 6.165 5.543 Å, 63.27 69.75 113.42°
Site moments in Bohr magnetons follow the coordinates.
Positions (direct):
O (0.747, 0.755, 0.997)  0.00
O (0.534, 0.208, 0.129)  0.04
O (0.747, 0.755, 0.501)  0.00
O (0.466, 0.792, 0.871)  0.04
O (0.253, 0.245, 0.499)  0.00
O (0.253, 0.245, 0.003)  0.00
U (0.000, 0.000, 0.000)  0.00
Cl (0.023, 0.507, 0.735)  0.09
Cl (0.977, 0.493, 0.265)  0.09
Re (0.500, 0.500, 0.000)  -0.01


The following is a DFT calculation (PBE) of a relaxed La2CeGa2 crystal.

Summary:
crystal system: orthorhombic
ΔH_f (0 K): -0.42 eV/atom
energy relative to the lowest polymorph listed for this composition: 0.0 meV/atom

Cell: 4.757 6.008 6.008 Å, 69.32 66.73 66.73°
Site moments in Bohr magnetons follow the coordinates.
Positions (direct):
Ga (0.000, 0.800, 0.700)  -0.01
Ga (0.000, 0.200, 0.300)  -0.01
Ce (0.500, 0.500, 0.000)  0.47
La (0.299, 0.202, 0.702)  -0.01
La (0.701, 0.798, 0.298)  -0.01


The following is a DFT calculation (PBE) of a relaxed TlZnBr4 crystal.

Summary:
crystal system: monoclinic
ΔE_f (raw): -3.75 eV/f.u.
energy relative to the lowest polymorph listed for this composition: 35.3 meV/atom

Cell: 6.037 7.123 13.343 Å, 115.48 90.00 115.07°
Positions (direct):
Tl (0.841, 0.683, 0.751)
Tl (0.159, 0.317, 0.249)
Br (0.930, 0.860, 0.584)
Br (0.689, 0.378, 0.240)
Br (0.619, 0.238, 0.745)
Br (0.311, 0.622, 0.760)
Br (0.904, 0.808, 0.078)
Br (0.381, 0.762, 0.255)
Br (0.096, 0.192, 0.922)
Br (0.070, 0.140, 0.416)
Zn (0.120, 0.240, 0.754)
Zn (0.880, 0.760, 0.246)


The following is a DFT calculation (PBE) of a relaxed Dy2YHo8 crystal.

Summary:
crystal system: monoclinic
ΔH_f (0 K): 0.16 eV/atom
energy relative to the lowest polymorph listed for this composition: 43.8 meV/atom

Cell: 5.526 10.040 10.040 Å, 40.34 92.76 92.76°
Positions (direct):
Ho (0.732, 0.398, 0.866)
Ho (0.732, 0.866, 0.398)
Ho (0.764, 0.454, 0.454)
Ho (0.236, 0.546, 0.546)
Ho (0.233, 0.188, 0.188)
Ho (0.767, 0.812, 0.812)
Ho (0.268, 0.134, 0.602)
Ho (0.268, 0.602, 0.134)
Dy (0.251, 0.716, 0.716)
Dy (0.749, 0.284, 0.284)
Y (0.000, 0.000, 0.000)